Density functional theory data (GGA-PBE) for Sm3In3Ir2Pd after structural relaxation.

Calculated values
Raw total energy: -5.7515 eV per atom
Crystal system: hexagonal

POSCAR file:
```
Sm3In3Ir2Pd
1.0
7.631 0.000 0.000
-3.815 6.609 0.000
0.000 0.000 4.000
Sm In Ir Pd
3 3 2 1
direct
0.000 0.414 0.000
0.414 0.000 0.000
0.586 0.586 0.000
0.000 0.744 0.500
0.256 0.256 0.500
0.744 0.000 0.500
0.333 0.667 0.500
0.667 0.333 0.500
0.000 0.000 0.000
```